No. 1
Entry from Alexandria via LeMat-Bulk: an optimized crystal structure of CaSiW2 (PBE).

Output
- Total magnetic moment: 0.00 μB per cell
- Raw formation energy: 306 kJ/mol of formula units
- Space-group type: Cmmm
- Crystal system: orthorhombic
- Uncorrected energy: -7.539 eV per atom

Cell and atoms, written as POSCAR:
```
CaSiW2
1.0
2.791 -4.612 0.000
2.791 4.612 0.000
0.000 0.000 2.711
Ca Si W
1 1 2
Cartesian
0.000 0.000 0.000 Ca
2.791 0.000 0.000 Si
1.395 2.306 1.356 W
1.395 -2.306 1.356 W
```

=====

No. 2
Entry from Alexandria via LeMat-Bulk: an optimized crystal structure of VTcIr2 (PBE).

Output
- Total magnetic moment: 0.00 μB per cell
- Space-group type: I-42d
- Crystal system: tetragonal
- Formation energy from the elements: 0.3174 eV per atom
- Uncorrected energy: -8.984 eV per atom
- Polymorph energy (0 for the lowest one): 67.66 kJ/mol of atoms

Cell and atoms, written as POSCAR:
```
VTcIr2
1.0
-1.888 1.888 8.770
1.888 -1.888 8.770
1.888 1.888 -8.770
V Tc Ir
2 2 4
Cartesian
0.000 0.000 0.000 V
0.000 1.888 4.385 V
1.888 0.000 4.385 Tc
0.000 0.000 8.770 Tc
2.832 0.920 -2.193 Ir
0.920 0.944 2.193 Ir
-0.944 0.969 6.578 Ir
0.969 0.944 10.963 Ir
```

=====

No. 3
Entry from Alexandria via LeMat-Bulk: an optimized crystal structure of AgTeCl2 (PBE).

Output
- Total magnetic moment: 0.00 μB per cell
- Raw formation energy: -35 kJ/mol of formula units
- Space-group type: P2/m
- Crystal system: monoclinic
- Uncorrected energy: -2.513 eV per atom
- Polymorph energy (0 for the lowest one): 24.14 kJ/mol of atoms

Cell and atoms, written as POSCAR:
```
AgTeCl2
1.0
4.746 0.000 0.000
0.000 4.436 0.000
-0.245 0.000 4.751
Ag Te Cl
1 1 2
Cartesian
0.000 0.000 0.000 Ag
2.251 0.000 2.375 Te
1.042 2.218 3.525 Cl
3.459 2.218 1.226 Cl
```

=====

No. 4
Entry from Alexandria via LeMat-Bulk: an optimized crystal structure of Th2Si3 (PBE).

Output
- Total magnetic moment: 0.00 μB per cell
- Raw formation energy: -287 kJ/mol of formula units
- Space-group type: Imm2
- Crystal system: orthorhombic
- Uncorrected energy: -6.817 eV per atom
- Polymorph energy (0 for the lowest one): 0.00 kJ/mol of atoms

Cell and atoms, written as POSCAR:
```
Th2Si3
1.0
-1.992 2.099 6.979
1.992 -2.099 6.979
1.992 2.099 -6.979
Th Si
2 3
Cartesian
0.000 0.000 0.000 Th
0.000 2.099 3.510 Th
1.992 0.000 4.513 Si
0.000 0.000 5.839 Si
0.000 0.000 8.197 Si
```

=====

No. 5
Entry from Alexandria via LeMat-Bulk: an optimized crystal structure of LaTmIrPd (PBE).

Output
- Total magnetic moment: 0.00 μB per cell
- Space-group type: F-43m
- Crystal system: cubic
- Formation energy from the elements: -0.7925 eV per atom
- Uncorrected energy: -6.656 eV per atom

Cell and atoms, written as POSCAR:
```
LaTmIrPd
1.0
0.000 3.531 3.531
3.531 0.000 3.531
3.531 3.531 0.000
La Tm Ir Pd
1 1 1 1
Cartesian
0.000 0.000 0.000 La
3.531 3.531 3.531 Tm
1.766 1.766 1.766 Ir
5.297 5.297 5.297 Pd
```

=====

No. 6
Entry from Alexandria via LeMat-Bulk: an optimized crystal structure of YSi2Os (PBE).

Output
- Total magnetic moment: 0.00 μB per cell
- Raw formation energy: -26 kJ/mol of formula units
- Space-group type: P4/mmm
- Crystal system: tetragonal
- Uncorrected energy: -7.201 eV per atom

Cell and atoms, written as POSCAR:
```
YSi2Os
1.0
4.072 0.000 0.000
0.000 4.072 0.000
0.000 0.000 4.031
Y Si Os
1 2 1
Cartesian
0.000 0.000 0.000 Y
0.000 2.036 2.015 Si
2.036 0.000 2.015 Si
2.036 2.036 0.000 Os
```